# 1
! PBE LaTcAg3, relaxed; values from VASP
&SYSTEM
  ibrav = 0, nat = 5, ntyp = 3
/
ATOMIC_SPECIES
La 138.91 La.upf
Tc 98.00 Tc.upf
Ag 107.87 Ag.upf
CELL_PARAMETERS angstrom
5.300 0.000 0.000
0.000 5.300 0.000
0.000 0.000 5.300
ATOMIC_POSITIONS angstrom
La 0.000 0.000 0.000
Tc 2.650 2.650 2.650
Ag 0.000 0.000 2.650
Ag 0.000 2.650 0.000
Ag 2.650 0.000 0.000
! **Relative energy among the computed polymorphs**: 6.42 eV/f.u.
! **Formation energy from the elements**: 2.00 eV per atom

# 2
! PBE CaBe2S2, relaxed; values from VASP
&SYSTEM
  ibrav = 0, nat = 10, ntyp = 3
/
ATOMIC_SPECIES
Ca 40.08 Ca.upf
Be 9.01 Be.upf
S 32.06 S.upf
CELL_PARAMETERS angstrom
7.336 0.000 0.000
0.000 7.336 0.000
0.000 0.000 3.327
ATOMIC_POSITIONS angstrom
Ca 0.000 0.000 0.000
Ca 3.668 3.668 0.000
Be 0.724 2.944 0.000
Be 2.944 6.612 0.000
Be 4.392 0.724 0.000
Be 6.612 4.392 0.000
S 1.600 2.068 1.663
S 2.068 5.736 1.663
S 5.268 1.600 1.663
S 5.736 5.268 1.663
! **Relative energy among the computed polymorphs**: 0.44 eV/f.u.
! **Formation energy without anion corrections**: -571 meV per atom

# 3
! PBE Ba6As2PO, relaxed; values from VASP
&SYSTEM
  ibrav = 0, nat = 20, ntyp = 4
/
ATOMIC_SPECIES
Ba 137.33 Ba.upf
As 74.92 As.upf
P 30.97 P.upf
O 16.00 O.upf
CELL_PARAMETERS angstrom
7.580 0.000 0.000
0.000 8.516 0.000
-7.526 0.000 11.101
ATOMIC_POSITIONS angstrom
Ba -2.470 1.695 4.798
Ba -6.233 2.563 10.349
Ba -1.482 5.788 4.878
Ba -5.245 6.986 10.428
Ba 0.986 0.395 2.608
Ba -2.777 3.863 8.159
Ba 2.830 4.654 2.942
Ba -0.933 8.121 8.493
Ba 5.299 1.530 0.673
Ba 1.536 2.728 6.223
Ba 6.287 5.953 0.752
Ba 2.524 6.821 6.303
As -4.073 0.801 8.343
As -0.310 3.458 2.792
As 0.363 5.059 8.309
As 4.126 7.716 2.758
P 0.027 0.000 5.551
P 3.790 4.258 0.000
O 0.000 0.000 0.000
O -3.763 4.258 5.551
! **Formation energy without anion corrections**: -1229 meV per atom

# 4
! PBE PaAl2Ga4, relaxed; values from VASP
&SYSTEM
  ibrav = 0, nat = 7, ntyp = 3
/
ATOMIC_SPECIES
Pa 231.04 Pa.upf
Al 26.98 Al.upf
Ga 69.72 Ga.upf
CELL_PARAMETERS angstrom
3.905 0.000 0.000
0.000 3.905 0.000
0.000 0.000 9.753
ATOMIC_POSITIONS angstrom
Pa 0.000 0.000 0.000
Al 0.000 1.952 4.877
Al 1.952 0.000 4.877
Ga 1.002 1.002 2.554
Ga 1.002 2.902 7.200
Ga 2.902 1.002 7.200
Ga 2.902 2.902 2.554
! **Formation energy from the elements**: 0.22 eV per atom

# 5
! PBE Pr3Zn2Cu7, relaxed; values from VASP
&SYSTEM
  ibrav = 0, nat = 12, ntyp = 3
/
ATOMIC_SPECIES
Pr 140.91 Pr.upf
Zn 65.41 Zn.upf
Cu 63.55 Cu.upf
CELL_PARAMETERS angstrom
-2.053 2.053 13.603
2.053 -2.053 13.603
2.053 2.053 -13.603
ATOMIC_POSITIONS angstrom
Pr 0.000 0.000 0.000
Pr 0.000 0.000 4.700
Pr 0.000 0.000 22.505
Zn 0.000 0.000 10.146
Zn 0.000 0.000 17.059
Cu 2.053 0.000 2.099
Cu 0.000 0.000 7.599
Cu 2.053 0.000 11.504
Cu 0.000 0.000 13.603
Cu 0.000 2.053 2.099
Cu 0.000 0.000 19.606
Cu 0.000 2.053 11.504
! **Formation energy from the elements**: -0.02 eV per atom

It is found that the M_tot values, taken in the order of the records, are 0.00, 0.00, 0.99, 1.34, 0.00 μB/f.u..